Material: Pm3Pr2Tm6
Method: DFT, PBE
State: optimized geometry

Calculated values
Excess energy over the best structure of this formula in the dataset in meV/atom: 0
Size of the total moment in μB per formula unit: 0.002
Total energy in eV per atom: -4.419
Energy of formation from the pure elements in eV per atom: 0.185

Unit cell a=6.1356 b=6.1412 c=11.6570 alpha=84.96 beta=79.86 gamma=60.03
With the nearest neighbours (Å) after each atom.
Atoms (fractional coordinates):
Pm  0.6643  0.6715  0.0000  6 Pm 3.50-3.57, 6 Tm 3.50-3.53
Pm  0.0000  0.0000  0.0000  6 Tm 3.51, 6 Pm 3.53-3.57
Pm  0.3357  0.3285  0.0000  6 Pm 3.50-3.57, 6 Tm 3.50-3.53
Tm  0.9168  0.6671  0.2488  3 Pm 3.51-3.53, 2 Pr 3.54, 6 Tm 3.54-3.55
Tm  0.4162  0.6671  0.7512  3 Pm 3.51-3.53, 2 Pr 3.54, 6 Tm 3.54-3.55
Tm  0.5838  0.3329  0.2488  3 Pm 3.51-3.53, 2 Pr 3.54, 6 Tm 3.54-3.55
Tm  0.2510  0.0000  0.2487  3 Pm 3.50-3.51, 2 Pr 3.54, 6 Tm 3.54-3.55
Tm  0.7490  0.0000  0.7513  3 Pm 3.50-3.51, 2 Pr 3.54, 6 Tm 3.54-3.55
Tm  0.0832  0.3329  0.7512  3 Pm 3.51-3.53, 2 Pr 3.54, 6 Tm 3.54-3.55
Pr  0.8333  0.3335  0.5000  6 Tm 3.54, 3 Pr 3.54-3.55
Pr  0.1667  0.6665  0.5000  6 Tm 3.54, 3 Pr 3.54-3.55

***

Material: TbEr2Cd
Method: DFT, PBE
State: optimized geometry

Calculated values
Excess energy over the best structure of this formula in the dataset in meV/atom: 0
Size of the total moment in μB per formula unit: 0.000
Total energy in eV per atom: -3.815
Energy of formation from the pure elements in eV per atom: -0.147

Unit cell a=3.7654 b=5.3723 c=6.5447 alpha=114.25 beta=106.72 gamma=90.00
With the nearest neighbours (Å) after each atom.
Atoms (fractional coordinates):
Tb  0.0000  0.5000  0.0000  4 Cd 3.28, 4 Er 3.64
Er  0.2245  0.2244  0.4490  2 Cd 3.16, 4 Er 3.33
Er  0.7755  0.7756  0.5510  2 Cd 3.16, 4 Er 3.33
Cd  0.5000  0.0000  0.0000  4 Er 3.16, 4 Tb 3.28